Material: U4Si6Ru7
Method: DFT, GGA-PBE
State: relaxed

Geometry as POSCAR:
```
U4Si6Ru7
1.0
-4.093 4.093 4.093
4.093 -4.093 4.093
4.093 4.093 -4.093
U Si Ru
4 6 7
Cartesian
2.046 2.046 -2.046
2.046 -2.046 2.046
-2.046 2.046 2.046
2.046 2.046 2.046
2.547 0.000 0.000
5.638 0.000 0.000
0.000 2.547 0.000
0.000 0.000 2.547
0.000 5.638 0.000
0.000 0.000 5.638
0.000 0.000 0.000
4.093 2.046 0.000
4.093 0.000 2.046
2.046 4.093 0.000
2.046 0.000 4.093
0.000 4.093 2.046
0.000 2.046 4.093
```

Values from the calculation:
E ... -9.047 eV per atom
V ... 274.2 Å³/f.u.
Total magnetic moment ... 3.0 μB/f.u.